# MnOsIN2

A relaxed MnOsIN2 crystal (PBE, Alexandria via LeMat-Bulk).

Output
Raw formation energy, meV per atom: 1581
Mass density, g/cm³: 7.75
Magnetization, μB/atom: 0.107
Excess energy over the best structure of this formula in the dataset, meV/atom: 661

Cell: 3.6738 3.6738 6.3532 Å, 90.00 90.00 90.00°
Space group P4/mmm (No. 123)
One atom of each set of equivalent atoms:
Mn 0.0000 0.0000 0.0000 [1 per cell]
Os 0.5000 0.5000 0.5000 [1 per cell]
I 0.0000 0.0000 0.5000 [1 per cell]
N 0.0000 0.5000 0.0000 [2 per cell]